NaTcCl5: optimized geometry, PBE-GGA.

Properties
As for the crystal system: monoclinic. The calculated total energy comes out at -3.972 eV per atom. As for the magnetic moment: 3.00 μB per formula unit.

```
14
Lattice="6.9937 -1.8123 -1.8665 -3.0171 6.5646 -1.8665 0.0104 0.0125 10.0486" Properties=species:S:1:pos:R:3 pbc="T T T"
Cl 2.3237 4.3807 1.9325
Cl 3.6417 1.3213 1.8813
Cl 0.2083 1.8509 1.5789
Cl -1.6820 5.1294 -0.5899
Cl 2.0679 4.0749 -2.5077
Cl 5.6691 -0.3646 6.9056
Cl 3.7787 2.9138 4.7367
Cl 0.3454 3.4435 4.4344
Cl 1.6633 0.3841 4.3831
Cl 1.9192 0.6899 8.8233
Tc 1.9935 2.3824 3.1578
Tc 0.0000 0.0000 0.0000
Na 0.4381 1.6693 6.6032
Na 3.5490 3.0955 -0.2876
```

---

NaTcCl3: optimized geometry, PBE-GGA.

Properties
As for the crystal system: cubic. The calculated total energy comes out at -4.107 eV per atom. Its energy above the lowest structure with this stoichiometry is 309 meV/atom. As for the magnetic moment: 2.87 μB per formula unit.

```
5
Lattice="-4.0263 -0.8867 -2.7724 2.9046 -1.5328 -3.7280 -0.1900 -4.6420 1.7606" Properties=species:S:1:pos:R:3 pbc="T T T"
Cl -2.0132 -0.4434 -1.3862
Cl 1.4523 -0.7664 -1.8640
Cl -0.0950 -2.3210 0.8803
Tc 0.0000 0.0000 0.0000
Na -0.6559 -3.5307 -2.3699
```

---

Na2TcCl8: optimized geometry, PBE-GGA.

Properties
As for the crystal system: monoclinic. The calculated total energy comes out at -3.213 eV per atom. As for the magnetic moment: 1.55 μB per formula unit.

```
11
Lattice="4.8438 0.0000 0.0000 0.0000 5.9859 -2.1053 -2.4219 -5.4982 11.9002" Properties=species:S:1:pos:R:3 pbc="T T T"
Cl 0.0000 -1.3885 5.0008
Cl 2.4219 -0.4980 2.2189
Cl 2.4219 -0.8080 9.4554
Cl 2.4219 1.8762 4.7941
Cl 0.0000 -1.8420 9.2054
Cl 0.0000 0.9857 7.5760
Cl 2.4219 2.3297 0.5895
Cl 0.0000 1.2957 0.3395
Na 2.4219 -0.9675 6.0097
Na 0.0000 1.4552 3.7852
Tc 2.4219 0.0000 0.0000
```

---

Na2TcCl6: optimized geometry, PBE-GGA.

Properties
As for the crystal system: tetragonal. The calculated total energy comes out at -3.859 eV per atom. Its energy above the lowest structure with this stoichiometry is 27 meV/atom. As for the magnetic moment: 3.00 μB per formula unit.

```
18
Lattice="-4.9391 -2.6764 2.9171 1.0695 -5.3928 -3.1371 7.2096 -3.6978 8.8144" Properties=species:S:1:pos:R:3 pbc="T T T"
Na 4.0794 -7.1193 7.2429
Na 4.8002 -2.4620 5.8687
Na -0.7394 -4.6477 1.3514
Na 2.4094 -1.2358 2.9457
Cl -0.0752 -6.8382 2.9935
Cl 3.2696 -6.6066 2.6854
Cl 6.1403 -8.0608 5.5280
Cl 1.3487 -3.8688 3.0744
Cl -2.8003 -3.7062 3.0664
Cl 3.4153 -4.9287 5.6009
Cl 2.3428 -6.3440 9.3543
Cl -1.0302 -2.1482 -0.0586
Cl 0.9972 -5.4229 -0.7599
Cl -2.8394 -5.9210 -0.1615
Cl 1.9913 -7.8981 5.5199
Cl 0.0704 -5.1603 5.9089
Tc 0.0000 0.0000 0.0000
Tc 1.6700 -5.8835 4.2972
```

---

NaTcCl6: optimized geometry, PBE-GGA.

Properties
As for the crystal system: monoclinic. The calculated total energy comes out at -3.690 eV per atom. Its energy above the lowest structure with this stoichiometry is 0 meV/atom. As for the magnetic moment: 2.00 μB per formula unit.

```
8
Lattice="-2.7928 -5.8496 1.6767 0.9780 -1.8913 6.3479 -5.4208 0.1698 4.2320" Properties=species:S:1:pos:R:3 pbc="T T T"
Cl -5.8813 -4.0630 5.6554
Cl -3.5103 -2.0459 4.5673
Cl -4.1541 -2.2499 7.7951
Cl -3.7253 -5.5252 7.6892
Cl -1.3543 -3.5081 6.6012
Cl -3.0815 -5.3213 4.4615
Na 0.0000 0.0000 0.0000
Tc -3.6178 -3.7856 6.1283
```

---

NaTcCl6: optimized geometry, PBE-GGA.

Properties
As for the crystal system: cubic. The calculated total energy comes out at -3.660 eV per atom. Its energy above the lowest structure with this stoichiometry is 30 meV/atom. As for the magnetic moment: 2.00 μB per formula unit.

```
8
Lattice="-4.8331 -2.5326 4.8653 -3.9843 -5.9296 -1.5522 1.2883 -6.2882 3.4990" Properties=species:S:1:pos:R:3 pbc="T T T"
Cl -3.1772 -10.0371 2.6039
Cl -4.3519 -4.7132 4.2082
Cl -3.8854 -6.5805 0.6805
Cl -6.5421 -7.9727 3.3549
Cl -3.6438 -8.1698 6.1315
Cl -0.9870 -6.7777 3.4571
Na -3.7646 -7.3752 3.4060
Tc 0.0000 0.0000 0.0000
```

---

Number 1: calculated volume 29.06 Å³/atom, formation energy (no corrections) -664 kJ/mol of formula units. Number 2: calculated volume 24.53 Å³/atom, formation energy (no corrections) -319 kJ/mol of formula units. Number 3: calculated volume 26.27 Å³/atom, formation energy (no corrections) -729 kJ/mol of formula units. Number 4: calculated volume 26.65 Å³/atom, formation energy (no corrections) -1027 kJ/mol of formula units. Number 5: calculated volume 29.24 Å³/atom, formation energy (no corrections) -652 kJ/mol of formula units. Number 6: calculated volume 34.53 Å³/atom, formation energy (no corrections) -629 kJ/mol of formula units.